Record 1
A relaxed BaYBiI2 crystal. Source: Alexandria via LeMat-Bulk, functional PBE.

Properties
As for the calculated total energy: -3.178 eV/atom. The value obtained for the raw formation energy is -0.10 eV/atom.

The structure in CIF format:
```
data_BaYBiI2
_symmetry_space_group_name_H-M 'P 4/m m m'
_symmetry_Int_Tables_number 123
_symmetry_space_group_name_Hall '-P 4 2'
_cell_length_a 6.2967
_cell_length_b 6.2967
_cell_length_c 6.8595
_cell_angle_alpha 90.00
_cell_angle_beta 90.00
_cell_angle_gamma 90.00
loop_
_atom_site_label
_atom_site_type_symbol
_atom_site_fract_x
_atom_site_fract_y
_atom_site_fract_z
_atom_site_occupancy
Ba1 Ba 0.0000 0.0000 0.0000 1
Y1 Y 0.5000 0.5000 0.5000 1
Bi1 Bi 0.0000 0.0000 0.5000 1
I1 I 0.0000 0.5000 0.0000 1
```

=====

Record 2
A relaxed Hf3Co5B2 crystal. Source: Alexandria via LeMat-Bulk, functional PBE.

Properties
As for the calculated total energy: -8.452 eV/atom. As for the calculated formation energy: -0.58 eV/atom.

The structure in CIF format:
```
data_Hf3Co5B2
_symmetry_space_group_name_H-M 'P 4/m b m'
_symmetry_Int_Tables_number 127
_symmetry_space_group_name_Hall '-P 4 2ab'
_cell_length_a 8.7472
_cell_length_b 8.7472
_cell_length_c 3.1861
_cell_angle_alpha 90.00
_cell_angle_beta 90.00
_cell_angle_gamma 90.00
loop_
_atom_site_label
_atom_site_type_symbol
_atom_site_fract_x
_atom_site_fract_y
_atom_site_fract_z
_atom_site_occupancy
Hf1 Hf 0.0000 0.0000 0.0000 1
Hf2 Hf 0.1747 0.3253 0.0000 1
Co1 Co 0.0000 0.5000 0.5000 1
Co2 Co 0.0705 0.7718 0.5000 1
B1 B 0.1179 0.6179 0.0000 1
```

=====

Record 3
A relaxed FeAgMo crystal. Source: Alexandria via LeMat-Bulk, functional PBE.

Properties
As for the calculated total energy: -7.019 eV/atom. The calculation puts the energy above the lowest structure with this stoichiometry at 0.000 eV per atom. As for the calculated formation energy: 0.36 eV/atom.

The structure in CIF format:
```
data_FeAgMo
_symmetry_space_group_name_H-M 'F m m 2'
_symmetry_Int_Tables_number 42
_symmetry_space_group_name_Hall 'F 2 -2'
_cell_length_a 3.1825
_cell_length_b 4.3062
_cell_length_c 13.3496
_cell_angle_alpha 90.00
_cell_angle_beta 90.00
_cell_angle_gamma 90.00
loop_
_atom_site_label
_atom_site_type_symbol
_atom_site_fract_x
_atom_site_fract_y
_atom_site_fract_z
_atom_site_occupancy
Fe1 Fe 0.0000 0.0000 0.0000 1
Ag1 Ag 0.0000 0.0000 0.6674 1
Mo1 Mo 0.0000 0.0000 0.3508 1
```